Density functional theory data (PBE+U) for an optimized crystal structure of Cd2GaWO6.

## Properties
- Fermi-level density of states: 0.67 states/eV per cell
- Total DFT energy (no corrections): -55.604 eV for the cell shown
- Spin magnetization: 0.9 μB/f.u.
- Space group: P4mm

Cell and atoms, written as CIF:
```
data_Cd2GaWO6
_cell_length_a 5.273
_cell_length_b 5.273
_cell_length_c 4.941
_cell_angle_alpha 90.00
_cell_angle_beta 90.00
_cell_angle_gamma 90.00
_symmetry_space_group_name_H-M 'P 1'
_symmetry_Int_Tables_number 1
loop_
_symmetry_equiv_pos_as_xyz
'x,y,z'
loop_
_atom_site_label
_atom_site_type_symbol
_atom_site_fract_x
_atom_site_fract_y
_atom_site_fract_z
Cd1 Cd 0.000 0.500 0.000
Cd2 Cd 0.500 0.000 0.000
Ga1 Ga 0.000 0.000 0.572
W1 W 0.500 0.500 0.569
O1 O 0.000 0.000 0.199
O2 O 0.251 0.251 0.708
O3 O 0.251 0.749 0.708
O4 O 0.500 0.500 0.201
O5 O 0.749 0.251 0.708
O6 O 0.749 0.749 0.708
```